DFT (PBE) results for crystalline CaMg6NbO8 at its relaxed geometry.

a = 4.3939 Å, b = 4.3939 Å, c = 8.9256 Å
α = 90.00°, β = 90.00°, γ = 90.00°
Last column: nearest neighbours and their distance in Å.
Positions (direct):
O 0.0000 0.0000 0.2517  4 Mg 2.20, 1 Nb 2.22, 1 Ca 2.25
O 0.0000 0.0000 0.7483  4 Mg 2.20, 1 Nb 2.22, 1 Ca 2.25
O 0.5000 0.0000 0.0000  4 Mg 2.20-2.24, 2 Ca 2.20
O 0.0000 0.5000 0.5000  2 Nb 2.20, 4 Mg 2.20-2.23
Mg 0.5000 0.5000 0.5000  6 O 2.20-2.21
O 0.5000 0.0000 0.5000  2 Nb 2.20, 4 Mg 2.20-2.23
Mg 0.5000 0.0000 0.7496  6 O 2.20-2.24
Ca 0.0000 0.0000 0.0000  6 O 2.20-2.25
O 0.5000 0.5000 0.2519  6 Mg 2.20-2.25
Mg 0.5000 0.5000 0.0000  6 O 2.20-2.25
O 0.5000 0.5000 0.7481  6 Mg 2.20-2.25
Nb 0.0000 0.0000 0.5000  6 O 2.20-2.22
O 0.0000 0.5000 0.0000  4 Mg 2.20-2.24, 2 Ca 2.20
Mg 0.0000 0.5000 0.7496  6 O 2.20-2.24
Mg 0.0000 0.5000 0.2504  6 O 2.20-2.24
Mg 0.5000 0.0000 0.2504  6 O 2.20-2.24

Computed properties:
- E_form (uncorrected) (eV per atom) = -2.371
- calculated volume (A^3/atom) = 10.77